Entry from Alexandria: a geometry-optimized WAuCl2 structure (GGA-PBEsol).

Lattice parameters (Å, degrees): 2.980 3.064 8.434 90.00 100.00 90.00
Sites, in units of the cell vectors:
Cl (0.906, 0.000, 0.944)
Au (0.304, 0.500, 0.735)
Cl (0.592, 0.500, 0.304)
W (0.697, 0.000, 0.518)

Computed properties:
The symmetry is Pm. Its formation energy (no corrections) is 0.06 eV/atom. As for the density of states at the Fermi level: 1.4 states/eV/cell.